VASP calculation (PBE) on a relaxed CrTeMoN2 crystal.

The value obtained for the polymorph energy (0 for the lowest one) is 0 meV per atom. The uncorrected formation energy is 0.56 eV/atom. For the total magnetization, the calculation gives 4.4 μB per formula unit.

It has space group P4/mmm (No. 123), with a = 3.9250 Å, b = 3.9250 Å, c = 5.7856 Å, α = 90.00°, β = 90.00° and γ = 90.00°. The asymmetric unit holds Cr at (0.0000, 0.0000, 0.0000), Te at (0.5000, 0.5000, 0.0000), Mo at (0.5000, 0.5000, 0.5000) and N at (0.0000, 0.5000, 0.5000).